(1)
Compound: HfNbAg3
Source: Alexandria via LeMat-Bulk
Functional: PBE
Structure: optimized geometry

Cell: 4.9867 4.9867 4.9867 Å, 90.00 90.00 90.00°
With the nearest neighbours (Å) after each atom.
Space group Pm-3m (No. 221)
Symmetry-distinct sites (fractional):
Hf 0.0000 0.0000 0.0000 x1  12 Ag 3.53
Nb 0.5000 0.5000 0.5000 x1  6 Ag 2.49
Ag 0.0000 0.5000 0.5000 x3  2 Nb 2.49

Summary:
- Relative energy among the computed polymorphs: 0.0 meV per atom
- Raw total energy: -20.9 eV/cell



(2)
Compound: CsSrSb3
Source: Alexandria via LeMat-Bulk
Functional: PBE
Structure: optimized geometry

Cell: 6.1684 6.1684 6.1684 Å, 90.00 90.00 90.00°
With the nearest neighbours (Å) after each atom.
Space group Pm-3m (No. 221)
Symmetry-distinct sites (fractional):
Cs 0.0000 0.0000 0.0000 x1  12 Sb 4.36
Sr 0.5000 0.5000 0.5000 x1  6 Sb 3.08
Sb 0.0000 0.5000 0.5000 x3  2 Sr 3.08

Summary:
- Relative energy among the computed polymorphs: 0.0 meV per atom
- Raw formation energy: 0.79 eV/f.u.
- Raw total energy: -14.1 eV/cell



(3)
Compound: Sr2MgCr
Source: Alexandria via LeMat-Bulk
Functional: PBE
Structure: optimized geometry

Cell: 3.9351 3.9351 8.9946 Å, 90.00 90.00 90.00°
With the nearest neighbours (Å) after each atom.
Space group P4mm (No. 99)
Symmetry-distinct sites (fractional):
Sr 0.0000 0.0000 0.0000 x1  1 Cr 3.49, 4 Mg 3.61
Sr 0.5000 0.5000 0.3668 x1  1 Mg 3.39, 4 Cr 3.55
Mg 0.5000 0.5000 0.7440 x1  4 Cr 3.02
Cr 0.0000 0.0000 0.6122 x1  4 Mg 3.02

Summary:
- Raw total energy: -13.2 eV/cell



(4)
Compound: NaZn9Pt2
Source: Alexandria via LeMat-Bulk
Functional: PBE
Structure: optimized geometry

Cell: 10.6218 10.6218 7.0373 Å, 90.00 90.00 90.00°
With the nearest neighbours (Å) after each atom.
Space group I4_1/amd (No. 141, origin choice 2)
Symmetry-distinct sites (fractional):
Na 0.0000 0.2500 0.3750 x4  18 Zn 3.35-3.52, 4 Pt 3.74
Zn 0.0000 0.2500 0.8750 x4  4 Pt 2.80, 8 Zn 2.92
Zn 0.1213 0.0400 0.6800 x32  5 Zn 2.58-2.68, 2 Pt 2.63-2.66
Pt 0.0000 0.0000 0.0000 x8  10 Zn 2.63-2.80

Summary:
- Raw total energy: -112.3 eV/cell



(5)
Compound: CrInCl2
Source: Alexandria via LeMat-Bulk
Functional: PBE
Structure: optimized geometry

Cell: 7.3098 7.4399 3.6678 Å, 90.00 101.51 90.00°
With the nearest neighbours (Å) after each atom.
Space group C2/m (No. 12)
Symmetry-distinct sites (fractional):
Cr 0.0000 0.0000 0.0000 x2  4 Cl 2.97
In 0.0000 0.5000 0.0000 x2  4 Cl 2.97
Cl 0.2500 0.2500 0.5000 x4  2 Cr 2.97, 2 In 2.97

Summary:
- Relative energy among the computed polymorphs: 313.1 meV per atom
- Raw formation energy: -0.88 eV/f.u.
- Raw total energy: -33.9 eV/cell



(6)
Compound: NaPt3
Source: Alexandria via LeMat-Bulk
Functional: PBE
Structure: optimized geometry

Cell: 4.6458 5.6685 4.9011 Å, 90.00 90.00 90.00°
With the nearest neighbours (Å) after each atom.
Space group Pmmn (No. 59, origin choice 2)
Symmetry-distinct sites (fractional):
Na 0.2500 0.2500 0.1641 x2  12 Pt 2.81-2.88
Pt 0.2500 0.0062 0.6645 x4  8 Pt 2.76-2.93, 4 Na 2.81-2.87
Pt 0.2500 0.7500 0.1827 x2  8 Pt 2.77-2.93, 4 Na 2.84-2.88

Summary:
- Raw total energy: -38.7 eV/cell



(7)
Compound: Tb3YAu
Source: Alexandria via LeMat-Bulk
Functional: PBE
Structure: optimized geometry

Cell: 5.2263 8.2835 6.8222 Å, 90.00 90.00 90.00°
With the nearest neighbours (Å) after each atom.
Space group Pmmn (No. 59, origin choice 2)
Symmetry-distinct sites (fractional):
Tb 0.2500 0.0483 0.2017 x4  1 Au 2.84
Tb 0.2500 0.2500 0.7182 x2  2 Au 3.26, 2 Y 3.30, 4 Tb 3.64
Y 0.2500 0.7500 0.5783 x2  1 Au 2.85
Au 0.2500 0.7500 0.9959 x2  2 Tb 2.84, 1 Y 2.85

Summary:
- Raw total energy: -49.9 eV/cell



(8)
Compound: ThTlGaI6
Source: Alexandria via LeMat-Bulk
Functional: PBE
Structure: optimized geometry

Cell: 8.2573 8.2573 14.9239 Å, 90.00 90.00 120.00°
With the nearest neighbours (Å) after each atom.
Space group P-31c (No. 163)
Symmetry-distinct sites (fractional):
Th 0.3333 0.6667 0.2500 x2  6 I 3.08
Tl 0.0000 0.0000 0.0000 x2  6 I 3.56
Ga 0.3333 0.6667 0.7500 x2  6 I 3.29
I 0.0189 0.3683 0.1320 x12  1 Th 3.08, 1 Ga 3.29

Summary:
- Raw formation energy: -8.26 eV/f.u.
- Raw total energy: -60.7 eV/cell